Below is NaTm2Tc after structural relaxation, with properties calculated at the GGA-PBE level.

Summary:
For the energy relative to the elements, the calculation gives -0.16 eV/f.u. The energy comes out at -20.78 eV per cell. The volume comes out at 106 Å³ per cell.

Unit cell a=3.424 b=3.424 c=9.059 alpha=90.00 beta=90.00 gamma=90.00
Space group P4/mmm (No. 123)
One atom of each set of equivalent atoms:
Na  0.000  0.000  0.000 [1 per cell]
Tm  0.500  0.500  0.324 [2 per cell]
Tc  0.000  0.000  0.500 [1 per cell]